Entry from the Alexandria database: an optimized crystal structure of MnCd2BO5 (PBE with a Hubbard U).

Computed properties:
**VASP energy**: -105.1 eV per cell
**Total moment**: 2.00 μB/f.u.
**D(E_F)**: 0.01 states/eV per atom

Lattice parameters (Å, degrees): 2.9159 6.9386 9.9980 90.00 90.00 102.13
Site moments in Bohr magnetons follow the coordinates.
Fractional positions:
Mn 0.8029 0.6059 0.5364  2.05
Mn 0.1971 0.3941 0.0364  2.05
Cd 0.8642 0.7285 0.8249  0.00
Cd 0.0994 0.1987 0.6564  0.00
Cd 0.1358 0.2715 0.3249  0.00
Cd 0.9006 0.8013 0.1564  0.00
B 0.5616 0.1232 0.9212  0.00
B 0.4384 0.8768 0.4212  0.00
O 0.3381 0.6762 0.0014  -0.03
O 0.6682 0.3364 0.9098  -0.02
O 0.5082 0.0163 0.8001  0.00
O 0.2860 0.5720 0.6687  -0.02
O 0.9563 0.9126 0.5049  -0.02
O 0.6619 0.3238 0.5014  -0.03
O 0.3318 0.6636 0.4098  -0.02
O 0.4918 0.9837 0.3001  0.00
O 0.7140 0.4280 0.1687  -0.02
O 0.0437 0.0874 0.0049  -0.02